(A)
! BePtPb PBE-GGA optimized geometry; values from VASP
&SYSTEM
  ibrav = 0, nat = 3, ntyp = 3
/
ATOMIC_SPECIES
Be 9.01 Be.upf
Pb 207.20 Pb.upf
Pt 195.08 Pt.upf
CELL_PARAMETERS angstrom
4.383 0.000 0.000
2.192 3.796 0.000
2.192 1.265 3.579
ATOMIC_POSITIONS crystal
Be 0.000 0.000 0.000
Pb 0.500 0.500 0.500
Pt 0.750 0.750 0.750
! symmetry = F-43m
! theoretical density = 11.47 Mg/m³
! DOS at the Fermi energy = 1.70 states/eV/cell
! magnetization = 0.00 μB/cell



(B)
! BePtPb PBE-GGA optimized geometry; values from VASP
&SYSTEM
  ibrav = 0, nat = 3, ntyp = 3
/
ATOMIC_SPECIES
Pt 195.08 Pt.upf
Pb 207.20 Pb.upf
Be 9.01 Be.upf
CELL_PARAMETERS angstrom
-5.032 2.162 -2.725
-3.378 -1.347 -4.919
3.048 -1.955 4.931
ATOMIC_POSITIONS crystal
Pt 0.613 0.613 0.000
Pb 0.328 0.328 0.000
Be 0.058 0.058 0.000
! symmetry = Imm2
! theoretical density = 12.15 Mg/m³
! DOS at the Fermi energy = 0.94 states/eV/cell
! magnetization = 0.00 μB/cell



(B) (194 meV/atom below the next structure)



(A)
! BePt2Pb PBE-GGA optimized geometry; values from VASP
&SYSTEM
  ibrav = 0, nat = 4, ntyp = 3
/
ATOMIC_SPECIES
Pt 195.08 Pt.upf
Pb 207.20 Pb.upf
Be 9.01 Be.upf
CELL_PARAMETERS angstrom
8.593 0.052 0.031
8.019 3.088 0.031
8.019 1.516 2.691
ATOMIC_POSITIONS crystal
Pt 0.237 0.237 0.237
Pt 0.994 0.994 0.994
Pb 0.753 0.753 0.753
Be 0.515 0.515 0.515
! symmetry = R3m
! theoretical density = 14.49 Mg/m³
! DOS at the Fermi energy = 2.51 states/eV/cell
! magnetization = 0.00 μB/cell



(B)
! BePt2Pb PBE-GGA optimized geometry; values from VASP
&SYSTEM
  ibrav = 0, nat = 4, ntyp = 3
/
ATOMIC_SPECIES
Pb 207.20 Pb.upf
Pt 195.08 Pt.upf
Be 9.01 Be.upf
CELL_PARAMETERS angstrom
0.000 3.222 3.222
3.222 0.000 3.222
3.222 3.222 0.000
ATOMIC_POSITIONS crystal
Pb 0.500 0.500 0.500
Pt 0.750 0.750 0.750
Pt 0.250 0.250 0.250
Be 0.000 0.000 0.000
! symmetry = Fm-3m
! theoretical density = 15.05 Mg/m³
! DOS at the Fermi energy = 1.86 states/eV/cell
! magnetization = 0.00 μB/cell



(C)
! BePt2Pb PBE-GGA optimized geometry; values from VASP
&SYSTEM
  ibrav = 0, nat = 4, ntyp = 3
/
ATOMIC_SPECIES
Pb 207.20 Pb.upf
Pt 195.08 Pt.upf
Be 9.01 Be.upf
CELL_PARAMETERS angstrom
-2.497 -1.617 2.348
0.169 -3.728 0.662
2.673 -0.864 5.309
ATOMIC_POSITIONS crystal
Pb 0.750 0.750 0.747
Pt 0.199 0.199 0.406
Pt 0.971 0.971 0.088
Be 0.580 0.580 0.260
! symmetry = Cm
! theoretical density = 14.46 Mg/m³
! DOS at the Fermi energy = 0.87 states/eV/cell
! magnetization = 0.00 μB/cell



(D)
! BePt2Pb PBE-GGA optimized geometry; values from VASP
&SYSTEM
  ibrav = 0, nat = 4, ntyp = 3
/
ATOMIC_SPECIES
Pb 207.20 Pb.upf
Pt 195.08 Pt.upf
Be 9.01 Be.upf
CELL_PARAMETERS angstrom
-1.340 -1.356 4.746
-3.693 -3.531 0.230
4.429 0.442 -2.520
ATOMIC_POSITIONS crystal
Pb 0.750 0.250 0.500
Pt 0.250 0.750 0.500
Pt 0.000 0.000 0.000
Be 0.500 0.500 0.000
! symmetry = I-4m2
! theoretical density = 15.27 Mg/m³
! DOS at the Fermi energy = 0.85 states/eV/cell
! magnetization = 0.00 μB/cell



(C) (362 meV/atom below the next structure)



(A)
! BePt2Pb PBE-GGA optimized geometry; values from VASP
&SYSTEM
  ibrav = 0, nat = 4, ntyp = 3
/
ATOMIC_SPECIES
Pb 207.20 Pb.upf
Pt 195.08 Pt.upf
Be 9.01 Be.upf
CELL_PARAMETERS angstrom
4.939 -0.015 0.015
0.950 4.847 -0.015
-2.169 -3.362 2.897
ATOMIC_POSITIONS crystal
Pb 0.250 0.750 0.500
Pt 0.939 0.939 0.000
Pt 0.561 0.561 0.000
Be 0.750 0.250 0.500
! symmetry = Immm
! theoretical density = 14.54 Mg/m³
! DOS at the Fermi energy = 1.22 states/eV/cell
! magnetization = 0.00 μB/cell



(B)
! BePt2Pb PBE-GGA optimized geometry; values from VASP
&SYSTEM
  ibrav = 0, nat = 4, ntyp = 3
/
ATOMIC_SPECIES
Pb 207.20 Pb.upf
Be 9.01 Be.upf
Pt 195.08 Pt.upf
CELL_PARAMETERS angstrom
4.898 0.000 0.000
1.473 4.671 0.000
-3.185 -2.336 2.896
ATOMIC_POSITIONS crystal
Pb 0.750 0.250 0.500
Be 0.250 0.750 0.500
Pt 0.500 0.500 0.000
Pt 0.000 0.000 0.000
! symmetry = I4/mmm
! theoretical density = 15.20 Mg/m³
! DOS at the Fermi energy = 2.15 states/eV/cell
! magnetization = 0.00 μB/cell



(C)
! BePt2Pb PBE-GGA optimized geometry; values from VASP
&SYSTEM
  ibrav = 0, nat = 4, ntyp = 3
/
ATOMIC_SPECIES
Pt 195.08 Pt.upf
Pb 207.20 Pb.upf
Be 9.01 Be.upf
CELL_PARAMETERS angstrom
4.080 0.000 0.000
0.000 3.923 0.007
0.000 -0.007 4.646
ATOMIC_POSITIONS crystal
Pt 0.000 0.875 0.174
Pt 0.500 0.375 0.207
Pb 0.500 0.875 0.717
Be 0.000 0.375 0.401
! symmetry = Pmm2
! theoretical density = 13.54 Mg/m³
! DOS at the Fermi energy = 1.37 states/eV/cell
! magnetization = 0.00 μB/cell



(C) (43 meV/atom below the next structure)



(A)
! BePt2Pb PBE-GGA optimized geometry; values from VASP
&SYSTEM
  ibrav = 0, nat = 4, ntyp = 3
/
ATOMIC_SPECIES
Pt 195.08 Pt.upf
Pb 207.20 Pb.upf
Be 9.01 Be.upf
CELL_PARAMETERS angstrom
-3.518 0.349 2.041
-0.571 -4.031 -0.296
1.935 -0.525 3.425
ATOMIC_POSITIONS crystal
Pt 0.500 0.500 0.000
Pt 0.000 0.000 0.000
Pb 0.000 0.500 0.500
Be 0.500 0.000 0.500
! symmetry = P4/mmm
! theoretical density = 15.23 Mg/m³
! DOS at the Fermi energy = 2.11 states/eV/cell
! magnetization = 0.00 μB/cell



(B)
! BePt2Pb PBE-GGA optimized geometry; values from VASP
&SYSTEM
  ibrav = 0, nat = 4, ntyp = 3
/
ATOMIC_SPECIES
Pb 207.20 Pb.upf
Be 9.01 Be.upf
Pt 195.08 Pt.upf
CELL_PARAMETERS angstrom
3.277 0.000 0.000
0.000 3.277 0.000
0.000 0.000 6.448
ATOMIC_POSITIONS crystal
Pb 0.500 0.500 0.765
Be 0.000 0.000 0.384
Pt 0.000 0.000 0.029
Pt 0.500 0.500 0.322
! symmetry = P4mm
! theoretical density = 14.54 Mg/m³
! DOS at the Fermi energy = 0.92 states/eV/cell
! magnetization = 0.00 μB/cell



(B) (248 meV/atom below the next structure)



(A)
! BePt2Pb PBE-GGA optimized geometry; values from VASP
&SYSTEM
  ibrav = 0, nat = 8, ntyp = 3
/
ATOMIC_SPECIES
Be 9.01 Be.upf
Pt 195.08 Pt.upf
Pb 207.20 Pb.upf
CELL_PARAMETERS angstrom
4.887 0.000 0.000
0.000 4.887 0.000
2.443 2.443 6.977
ATOMIC_POSITIONS crystal
Be 0.250 0.750 0.500
Be 0.500 0.500 0.000
Pt 0.499 0.125 0.250
Pt 0.375 0.501 0.750
Pt 0.251 0.625 0.250
Pt 0.875 0.749 0.750
Pb 0.000 0.000 0.000
Pb 0.750 0.250 0.500
! symmetry = I-42d
! theoretical density = 12.09 Mg/m³
! DOS at the Fermi energy = 4.55 states/eV/cell
! magnetization = 0.00 μB/cell



(B)
! BePt2Pb PBE-GGA optimized geometry; values from VASP
&SYSTEM
  ibrav = 0, nat = 4, ntyp = 3
/
ATOMIC_SPECIES
Pt 195.08 Pt.upf
Pb 207.20 Pb.upf
Be 9.01 Be.upf
CELL_PARAMETERS angstrom
-2.805 3.204 -0.632
-1.989 -1.768 3.384
1.928 2.124 2.238
ATOMIC_POSITIONS crystal
Pt 0.000 0.000 0.000
Pt 0.500 0.500 0.000
Pb 0.000 0.500 0.500
Be 0.500 0.000 0.500
! symmetry = Cmmm
! theoretical density = 15.04 Mg/m³
! DOS at the Fermi energy = 1.23 states/eV/cell
! magnetization = 0.00 μB/cell



(C)
! BePt2Pb PBE-GGA optimized geometry; values from VASP
&SYSTEM
  ibrav = 0, nat = 4, ntyp = 3
/
ATOMIC_SPECIES
Pt 195.08 Pt.upf
Pb 207.20 Pb.upf
Be 9.01 Be.upf
CELL_PARAMETERS angstrom
-3.621 0.856 -5.854
-6.529 0.094 -2.342
4.902 1.780 4.574
ATOMIC_POSITIONS crystal
Pt 0.665 0.165 0.500
Pt 0.989 0.989 0.000
Pb 0.303 0.803 0.500
Be 0.543 0.543 0.000
! symmetry = Imm2
! theoretical density = 14.42 Mg/m³
! DOS at the Fermi energy = 1.11 states/eV/cell
! magnetization = 0.00 μB/cell



(D)
! BePt2Pb PBE-GGA optimized geometry; values from VASP
&SYSTEM
  ibrav = 0, nat = 4, ntyp = 3
/
ATOMIC_SPECIES
Pt 195.08 Pt.upf
Pb 207.20 Pb.upf
Be 9.01 Be.upf
CELL_PARAMETERS angstrom
4.571 0.000 0.000
2.286 3.959 0.000
2.286 1.320 3.733
ATOMIC_POSITIONS crystal
Pt 0.000 0.000 0.000
Pt 0.250 0.250 0.250
Pb 0.750 0.750 0.750
Be 0.500 0.500 0.500
! symmetry = F-43m
! theoretical density = 14.91 Mg/m³
! DOS at the Fermi energy = 2.56 states/eV/cell
! magnetization = 0.00 μB/cell



(C) (215 meV/atom below the next structure)



(A)
! BePt2Pb PBE-GGA optimized geometry; values from VASP
&SYSTEM
  ibrav = 0, nat = 4, ntyp = 3
/
ATOMIC_SPECIES
Pt 195.08 Pt.upf
Be 9.01 Be.upf
Pb 207.20 Pb.upf
CELL_PARAMETERS angstrom
-0.313 -1.960 -2.243
1.029 -2.150 1.735
-5.593 -4.514 4.726
ATOMIC_POSITIONS crystal
Pt 0.000 0.028 0.071
Pt 0.000 0.472 0.429
Be 0.500 0.250 0.250
Pb 0.500 0.750 0.750
! symmetry = P2/m
! theoretical density = 15.10 Mg/m³
! DOS at the Fermi energy = 1.79 states/eV/cell
! magnetization = 0.00 μB/cell



(B)
! BePt2Pb PBE-GGA optimized geometry; values from VASP
&SYSTEM
  ibrav = 0, nat = 4, ntyp = 3
/
ATOMIC_SPECIES
Pb 207.20 Pb.upf
Pt 195.08 Pt.upf
Be 9.01 Be.upf
CELL_PARAMETERS angstrom
-3.062 0.283 2.094
-3.337 -0.736 -1.472
-1.586 -5.762 1.769
ATOMIC_POSITIONS crystal
Pb 0.250 0.250 0.250
Pt 0.031 0.031 0.909
Pt 0.469 0.469 0.591
Be 0.750 0.750 0.750
! symmetry = R-3m
! theoretical density = 14.36 Mg/m³
! DOS at the Fermi energy = 1.16 states/eV/cell
! magnetization = 0.00 μB/cell



(C)
! BePt2Pb PBE-GGA optimized geometry; values from VASP
&SYSTEM
  ibrav = 0, nat = 4, ntyp = 3
/
ATOMIC_SPECIES
Pb 207.20 Pb.upf
Pt 195.08 Pt.upf
Be 9.01 Be.upf
CELL_PARAMETERS angstrom
-1.336 -0.856 -2.540
2.190 -1.988 -0.474
-3.812 -5.087 3.719
ATOMIC_POSITIONS crystal
Pb 0.500 0.500 0.750
Pt 0.000 0.000 0.066
Pt 0.000 0.000 0.434
Be 0.500 0.500 0.250
! symmetry = Cmmm
! theoretical density = 15.24 Mg/m³
! DOS at the Fermi energy = 2.21 states/eV/cell
! magnetization = 0.00 μB/cell



(B) (40 meV/atom below the next structure)



(A)
! BePtPb3 PBE-GGA optimized geometry; values from VASP
&SYSTEM
  ibrav = 0, nat = 5, ntyp = 3
/
ATOMIC_SPECIES
Be 9.01 Be.upf
Pb 207.20 Pb.upf
Pt 195.08 Pt.upf
CELL_PARAMETERS angstrom
-3.336 -3.601 2.268
1.857 -3.824 -3.341
3.829 -1.283 3.596
ATOMIC_POSITIONS crystal
Be 0.500 0.500 0.500
Pb 0.000 0.500 0.000
Pb 0.500 0.000 0.000
Pb 0.000 0.000 0.500
Pt 0.000 0.000 0.000
! symmetry = Pm-3m
! theoretical density = 8.67 Mg/m³
! DOS at the Fermi energy = 2.93 states/eV/cell
! magnetization = 0.00 μB/cell



(B)
! BePtPb3 PBE-GGA optimized geometry; values from VASP
&SYSTEM
  ibrav = 0, nat = 5, ntyp = 3
/
ATOMIC_SPECIES
Pb 207.20 Pb.upf
Pt 195.08 Pt.upf
Be 9.01 Be.upf
CELL_PARAMETERS angstrom
4.966 0.000 0.000
0.000 4.966 0.000
0.000 0.000 4.966
ATOMIC_POSITIONS crystal
Pb 0.000 0.000 0.500
Pb 0.500 0.000 0.000
Pb 0.000 0.500 0.000
Pt 0.500 0.500 0.500
Be 0.000 0.000 0.000
! symmetry = Pm-3m
! theoretical density = 11.20 Mg/m³
! DOS at the Fermi energy = 2.00 states/eV/cell
! magnetization = 0.00 μB/cell



(B) (169 meV/atom below the next structure)



(A)
! Be2Pt2Pb PBE-GGA optimized geometry; values from VASP
&SYSTEM
  ibrav = 0, nat = 10, ntyp = 3
/
ATOMIC_SPECIES
Pt 195.08 Pt.upf
Be 9.01 Be.upf
Pb 207.20 Pb.upf
CELL_PARAMETERS angstrom
-4.496 4.079 3.943
3.102 -2.444 6.067
1.886 2.167 -0.091
ATOMIC_POSITIONS crystal
Pt 0.851 0.351 0.500
Pt 0.351 0.149 0.500
Pt 0.649 0.851 0.500
Pt 0.149 0.649 0.500
Be 0.879 0.621 0.000
Be 0.621 0.121 0.000
Be 0.379 0.879 0.000
Be 0.121 0.379 0.000
Pb 0.500 0.500 0.000
Pb 0.000 0.000 0.000
! symmetry = P4/mbm
! theoretical density = 13.57 Mg/m³
! DOS at the Fermi energy = 4.17 states/eV/cell
! magnetization = 0.00 μB/cell



(B)
! Be2Pt2Pb PBE-GGA optimized geometry; values from VASP
&SYSTEM
  ibrav = 0, nat = 10, ntyp = 3
/
ATOMIC_SPECIES
Be 9.01 Be.upf
Pt 195.08 Pt.upf
Pb 207.20 Pb.upf
CELL_PARAMETERS angstrom
7.364 0.000 0.000
0.000 7.364 0.000
0.000 0.000 2.821
ATOMIC_POSITIONS crystal
Be 0.129 0.629 0.500
Be 0.871 0.371 0.500
Be 0.371 0.129 0.500
Be 0.629 0.871 0.500
Pt 0.356 0.856 0.000
Pt 0.856 0.644 0.000
Pt 0.144 0.356 0.000
Pt 0.644 0.144 0.000
Pb 0.500 0.500 0.000
Pb 0.000 0.000 0.000
! symmetry = P4/mbm
! theoretical density = 13.36 Mg/m³
! DOS at the Fermi energy = 5.77 states/eV/cell
! magnetization = 0.00 μB/cell



(A) (19 meV/atom below the next structure)